Record 1
Material: Na2SO6
Method: DFT, PBE-GGA
State: relaxed

## Properties
DOS at the Fermi energy = 7.09 states/eV/f.u.
ΔE_f (raw) = -0.71 eV per atom
spin magnetization = 2.0 μB/f.u.

Lattice parameters (Å, degrees): 4.933 4.933 9.819 90.00 90.00 90.00
Space group P4_2/mnm (No. 136)
Asymmetric unit:
Na  0.000  0.000  0.162 [4 per cell]
S  0.000  0.000  0.500 [2 per cell]
O  0.162  0.162  0.383 [8 per cell]
O  0.229  0.771  0.500 [4 per cell]

***

Record 2
Material: Na3SO4
Method: DFT, PBE-GGA
State: relaxed

## Properties
DOS at the Fermi energy = 1.16 states/eV/f.u.
ΔE_f (raw) = -1.51 eV per atom
spin magnetization = 0.0 μB/f.u.

Lattice parameters (Å, degrees): 7.103 7.831 5.183 90.00 90.00 90.00
Space group Pmn2_1 (No. 31)
Asymmetric unit:
Na  0.000  0.139  0.000 [2 per cell]
Na  0.235  0.701  0.004 [4 per cell]
S  0.000  0.907  0.517 [2 per cell]
O  0.000  0.099  0.476 [2 per cell]
O  0.000  0.872  0.801 [2 per cell]
O  0.172  0.834  0.399 [4 per cell]

***

Record 3
Material: Na2SO
Method: DFT, PBE-GGA
State: relaxed

## Properties
DOS at the Fermi energy = 1.65 states/eV/f.u.
ΔE_f (raw) = -0.48 eV per atom
relative energy among the computed polymorphs = 0.2555 eV/atom
spin magnetization = 2.0 μB/f.u.

Lattice parameters (Å, degrees): 6.462 6.462 6.462 90.00 90.00 90.00
Space group Fm-3m (No. 225)
Asymmetric unit:
Na  0.250  0.250  0.250 [8 per cell]
S  0.000  0.000  0.000 [4 per cell]
O  0.000  0.000  0.500 [4 per cell]

***

Record 4
Material: NaSO4
Method: DFT, PBE-GGA
State: relaxed

## Properties
ΔE_f (raw) = -0.81 eV per atom
relative energy among the computed polymorphs = 0.6042 eV/atom
spin magnetization = 1.0 μB/f.u.

Lattice parameters (Å, degrees): 11.087 5.240 5.600 90.00 112.08 90.00
Space group C2/c (No. 15)
Asymmetric unit:
Na  0.000  0.249  0.250 [4 per cell]
S  0.250  0.250  0.000 [4 per cell]
O  0.123  0.383  0.982 [8 per cell]
O  0.171  0.083  0.763 [8 per cell]

***

Record 5
Material: NaSO4
Method: DFT, PBE-GGA
State: relaxed

## Properties
DOS at the Fermi energy = 0.00 states/eV/f.u.
ΔE_f (raw) = -1.42 eV per atom
relative energy among the computed polymorphs = 0.0000 eV/atom
spin magnetization = 0.0 μB/f.u.

Lattice parameters (Å, degrees): 4.897 5.755 6.154 101.31 102.76 98.41
Space group P-1 (No. 2)
Asymmetric unit:
Na  0.026  0.312  0.203 [2 per cell]
S  0.390  0.222  0.750 [2 per cell]
O  0.230  0.108  0.887 [2 per cell]
O  0.234  0.354  0.602 [2 per cell]
O  0.320  0.650  0.130 [2 per cell]
O  0.419  0.967  0.584 [2 per cell]

***

Record 6
Material: Na2SO
Method: DFT, PBE-GGA
State: relaxed

## Properties
DOS at the Fermi energy = 0.00 states/eV/f.u.
ΔE_f (raw) = -0.73 eV per atom
relative energy among the computed polymorphs = 0.0000 eV/atom
spin magnetization = 0.0 μB/f.u.

Lattice parameters (Å, degrees): 8.963 8.963 4.207 90.00 90.00 90.00
Space group I4_1/amd (No. 141, origin choice 2)
Asymmetric unit:
Na  0.000  0.000  0.000 [8 per cell]
S  0.000  0.250  0.375 [4 per cell]
O  0.000  0.250  0.875 [4 per cell]

***

Record 7
Material: NaSO4
Method: DFT, PBE-GGA
State: relaxed

## Properties
DOS at the Fermi energy = 3.57 states/eV/f.u.
ΔE_f (raw) = -1.36 eV per atom
relative energy among the computed polymorphs = 0.0603 eV/atom
spin magnetization = 1.0 μB/f.u.

Lattice parameters (Å, degrees): 7.095 7.112 7.183 102.61 96.46 96.50
Space group P-1 (No. 2)
Asymmetric unit:
Na  0.019  0.221  0.211 [2 per cell]
Na  0.372  0.162  0.651 [2 per cell]
S  0.097  0.773  0.296 [2 per cell]
S  0.482  0.717  0.799 [2 per cell]
O  0.029  0.182  0.549 [2 per cell]
O  0.033  0.860  0.135 [2 per cell]
O  0.079  0.559  0.238 [2 per cell]
O  0.298  0.860  0.375 [2 per cell]
O  0.331  0.843  0.781 [2 per cell]
O  0.370  0.249  0.326 [2 per cell]
O  0.394  0.510  0.739 [2 per cell]
O  0.428  0.241  0.997 [2 per cell]

***

Record 8
Material: Na2S2O7
Method: DFT, PBE-GGA
State: relaxed

## Properties
DOS at the Fermi energy = 0.00 states/eV/f.u.
ΔE_f (raw) = -1.57 eV per atom
relative energy among the computed polymorphs = 0.0494 eV/atom
spin magnetization = 0.0 μB/f.u.

Lattice parameters (Å, degrees): 4.735 11.058 5.735 90.00 96.05 90.00
Space group P2_1/c (No. 14)
Asymmetric unit:
Na  0.092  0.153  0.410 [4 per cell]
S  0.368  0.608  0.645 [4 per cell]
O  0.168  0.669  0.472 [4 per cell]
O  0.234  0.547  0.830 [4 per cell]
O  0.388  0.182  0.769 [4 per cell]
O  0.500  0.000  0.000 [2 per cell]

***

Record 9
Material: Na8S2O
Method: DFT, PBE-GGA
State: relaxed

## Properties
DOS at the Fermi energy = 2.33 states/eV/f.u.
ΔE_f (raw) = -0.81 eV per atom
spin magnetization = 0.0 μB/f.u.

Lattice parameters (Å, degrees): 14.636 4.519 7.935 90.00 99.93 90.00
Space group C2/m (No. 12)
Asymmetric unit:
Na  0.051  0.000  0.221 [4 per cell]
Na  0.061  0.500  0.654 [4 per cell]
Na  0.177  0.000  0.562 [4 per cell]
Na  0.180  0.500  0.058 [4 per cell]
S  0.248  0.000  0.253 [4 per cell]
O  0.000  0.000  0.500 [2 per cell]

***

Record 10
Material: Na2SO4
Method: DFT, PBE-GGA
State: relaxed

## Properties
DOS at the Fermi energy = 0.00 states/eV/f.u.
ΔE_f (raw) = -1.81 eV per atom
relative energy among the computed polymorphs = 0.0000 eV/atom
spin magnetization = 0.0 μB/f.u.

Lattice parameters (Å, degrees): 5.933 9.953 12.459 90.00 90.00 90.00
Space group Fddd (No. 70, origin choice 2)
Asymmetric unit:
Na  0.125  0.310  0.125 [16 per cell]
S  0.125  0.125  0.625 [8 per cell]
O  0.021  0.286  0.943 [32 per cell]

***

Record 11
Material: NaS6O2
Method: DFT, PBE-GGA
State: relaxed

## Properties
DOS at the Fermi energy = 2.20 states/eV/f.u.
ΔE_f (raw) = -0.40 eV per atom
spin magnetization = 0.0 μB/f.u.

Lattice parameters (Å, degrees): 9.609 11.308 8.680 90.00 108.39 90.00
Space group C2/c (No. 15)
Asymmetric unit:
Na  0.000  0.147  0.250 [4 per cell]
S  0.085  0.161  0.695 [8 per cell]
S  0.088  0.441  0.493 [8 per cell]
S  0.187  0.383  0.715 [8 per cell]
O  0.008  0.161  0.514 [8 per cell]

***

Record 12
Material: Na2SO4
Method: DFT, PBE-GGA
State: relaxed

## Properties
DOS at the Fermi energy = 0.69 states/eV/f.u.
ΔE_f (raw) = -1.37 eV per atom
relative energy among the computed polymorphs = 0.4369 eV/atom
spin magnetization = 1.0 μB/f.u.

Lattice parameters (Å, degrees): 5.799 5.813 6.937 88.19 75.11 84.31
Space group P1 (No. 1)
Asymmetric unit:
Na  0.000  0.000  0.000 [1 per cell]
Na  0.009  0.553  0.271 [1 per cell]
Na  0.334  0.166  0.439 [1 per cell]
Na  0.703  0.557  0.788 [1 per cell]
S  0.483  0.745  0.199 [1 per cell]
S  0.810  0.068  0.537 [1 per cell]
O  0.279  0.316  0.936 [1 per cell]
O  0.342  0.355  0.751 [1 per cell]
O  0.343  0.763  0.038 [1 per cell]
O  0.415  0.525  0.316 [1 per cell]
O  0.750  0.700  0.084 [1 per cell]
O  0.867  0.808  0.545 [1 per cell]
O  0.911  0.174  0.696 [1 per cell]
O  0.963  0.153  0.336 [1 per cell]

***

Record 13
Material: NaSbS2O8
Method: DFT, PBE-GGA
State: relaxed

## Properties
DOS at the Fermi energy = 0.00 states/eV/f.u.
ΔE_f (raw) = -1.41 eV per atom
spin magnetization = 0.0 μB/f.u.

Lattice parameters (Å, degrees): 5.0730 5.0730 7.9494 90.00 90.00 120.00
Space group P-3 (No. 147)
Asymmetric unit:
Na  0.0000  0.0000  0.0000 [1 per cell]
Sb  0.0000  0.0000  0.5000 [1 per cell]
S  0.3333  0.6667  0.7537 [2 per cell]
O  0.0719  0.3731  0.6877 [6 per cell]
O  0.3333  0.6667  0.9368 [2 per cell]

***

Record 14
Material: Na2SbSO
Method: DFT, PBE-GGA
State: relaxed

## Properties
DOS at the Fermi energy = 2.26 states/eV/f.u.
ΔE_f (raw) = -0.05 eV per atom
spin magnetization = 0.0 μB/f.u.

Lattice parameters (Å, degrees): 5.008 5.008 5.202 90.00 90.00 90.00
Space group P4/mmm (No. 123)
Asymmetric unit:
Na  0.000  0.500  0.000 [2 per cell]
Sb  0.000  0.000  0.500 [1 per cell]
S  0.000  0.000  0.000 [1 per cell]
O  0.500  0.500  0.500 [1 per cell]

***

Record 15
Material: NaSeS2O8
Method: DFT, PBE-GGA
State: relaxed

## Properties
ΔE_f (raw) = -1.14 eV per atom
spin magnetization = 1.0 μB/f.u.

Lattice parameters (Å, degrees): 9.491 5.178 7.230 90.00 99.19 90.00
Space group C2/m (No. 12)
Asymmetric unit:
Na  0.000  0.000  0.000 [2 per cell]
Se  0.000  0.000  0.500 [2 per cell]
S  0.150  0.500  0.708 [4 per cell]
O  0.050  0.262  0.717 [8 per cell]
O  0.203  0.500  0.531 [4 per cell]
O  0.247  0.000  0.122 [4 per cell]

***

Record 16
Material: NaSiS2O8
Method: DFT, PBE-GGA
State: relaxed

## Properties
DOS at the Fermi energy = 2.62 states/eV/f.u.
ΔE_f (raw) = -1.43 eV per atom
spin magnetization = 0.0 μB/f.u.

Lattice parameters (Å, degrees): 8.014 5.221 7.223 90.00 91.50 90.00
Space group C2/m (No. 12)
Asymmetric unit:
Na  0.000  0.000  0.000 [2 per cell]
Si  0.000  0.000  0.500 [2 per cell]
S  0.141  0.500  0.284 [4 per cell]
O  0.031  0.262  0.307 [8 per cell]
O  0.219  0.500  0.105 [4 per cell]
O  0.234  0.000  0.557 [4 per cell]

***

Record 17
Material: NaSm9Si6S2O24
Method: DFT, PBE-GGA
State: relaxed

## Properties
DOS at the Fermi energy = 0.00 states/eV/f.u.
ΔE_f (raw) = -3.11 eV per atom
spin magnetization = 0.0 μB/f.u.

Lattice parameters (Å, degrees): 9.9290 9.9290 6.7393 90.00 90.00 120.00
Space group P3 (No. 143)
Asymmetric unit:
Na  0.0000  0.0000  0.0000 [1 per cell]
Sm  0.0000  0.0000  0.5166 [1 per cell]
Sm  0.0791  0.6526  0.7577 [3 per cell]
Sm  0.1015  0.4094  0.2533 [3 per cell]
Sm  0.6667  0.3333  0.0111 [1 per cell]
Sm  0.6667  0.3333  0.5044 [1 per cell]
Si  0.3023  0.2475  0.2583 [3 per cell]
Si  0.3638  0.0756  0.7542 [3 per cell]
S  0.3333  0.6667  0.5018 [1 per cell]
S  0.3333  0.6667  0.9959 [1 per cell]
O  0.0617  0.7572  0.4539 [3 per cell]
O  0.0675  0.7441  0.0721 [3 per cell]
O  0.1786  0.0017  0.7478 [3 per cell]
O  0.2004  0.0571  0.2622 [3 per cell]
O  0.4306  0.0269  0.9512 [3 per cell]
O  0.4351  0.0275  0.5609 [3 per cell]
O  0.4665  0.2699  0.7576 [3 per cell]
O  0.4884  0.3064  0.2582 [3 per cell]